one:
Density functional theory data (GGA-PBE) for an optimized crystal structure of SrTa2Rh.

Lattice parameters (Å, degrees): 5.895 5.895 5.895 149.64 125.72 63.48
Sites, in units of the cell vectors:
Sr 0.000 0.000 0.000
Ta 0.468 0.468 0.000
Ta 0.705 0.205 0.500
Rh 0.262 0.762 0.500

Calculated volume ... 83.3 Å³ per cell
Symmetry ... Imm2


two:
Density functional theory data (GGA-PBE) for an optimized crystal structure of SrTa2Rh.

Lattice parameters (Å, degrees): 5.886 5.886 2.938 98.81 98.81 124.10
Sites, in units of the cell vectors:
Sr 0.000 0.000 0.000
Ta 0.000 0.500 0.500
Ta 0.500 0.000 0.500
Rh 0.500 0.500 0.000

Calculated volume ... 79.7 Å³ per cell
Symmetry ... C2/m


three:
Density functional theory data (GGA-PBE) for an optimized crystal structure of SrTa2Rh.

Lattice parameters (Å, degrees): 4.747 4.747 4.747 60.00 60.00 60.00
Sites, in units of the cell vectors:
Sr 0.000 0.000 0.000
Ta 0.250 0.250 0.250
Ta 0.750 0.750 0.750
Rh 0.500 0.500 0.500

Calculated volume ... 75.6 Å³ per cell
Symmetry ... Fm-3m


Verdict on stability: one comes out on top.


one:
Density functional theory data (GGA-PBE) for an optimized crystal structure of SrTa2Rh.

Lattice parameters (Å, degrees): 3.335 3.335 8.010 90.00 90.00 90.00
Sites, in units of the cell vectors:
Sr 0.000 0.000 0.000
Ta 0.500 0.500 0.330
Ta 0.500 0.500 0.670
Rh 0.000 0.000 0.500

Calculated volume ... 89.1 Å³ per cell
Symmetry ... P4/mmm


two:
Density functional theory data (GGA-PBE) for an optimized crystal structure of SrTa2Rh.

Lattice parameters (Å, degrees): 5.272 5.272 6.156 101.91 101.91 33.44
Sites, in units of the cell vectors:
Sr 0.000 0.000 0.000
Ta 0.534 0.534 0.516
Ta 0.801 0.801 0.400
Rh 0.236 0.236 0.723

Calculated volume ... 92.1 Å³ per cell
Symmetry ... Cm


Verdict on stability: two comes out on top.


one:
Density functional theory data (GGA-PBE) for an optimized crystal structure of SrTa2Rh.

Lattice parameters (Å, degrees): 2.940 2.940 9.664 90.00 90.00 90.00
Sites, in units of the cell vectors:
Sr 0.000 0.000 0.000
Ta 0.500 0.500 0.308
Ta 0.500 0.500 0.692
Rh 0.000 0.000 0.500

Calculated volume ... 83.5 Å³ per cell
Symmetry ... P4/mmm


two:
Density functional theory data (GGA-PBE) for an optimized crystal structure of SrTa2Rh.

Lattice parameters (Å, degrees): 3.239 4.679 5.304 90.00 90.00 90.00
Sites, in units of the cell vectors:
Sr 0.000 0.000 0.000
Ta 0.000 0.500 0.500
Ta 0.500 0.000 0.500
Rh 0.500 0.500 0.000

Calculated volume ... 80.4 Å³ per cell
Symmetry ... Pmmm


three:
Density functional theory data (GGA-PBE) for an optimized crystal structure of SrTa2Rh.

Lattice parameters (Å, degrees): 3.987 3.987 5.214 90.00 90.00 90.00
Sites, in units of the cell vectors:
Sr 0.000 0.000 0.000
Ta 0.000 0.500 0.500
Ta 0.500 0.000 0.500
Rh 0.500 0.500 0.000

Calculated volume ... 82.9 Å³ per cell
Symmetry ... P4/mmm


Verdict on stability: one comes out on top.


one:
Density functional theory data (GGA-PBE) for an optimized crystal structure of SrTa2Rh.

Lattice parameters (Å, degrees): 2.930 4.904 5.604 90.00 90.00 90.00
Sites, in units of the cell vectors:
Sr 0.000 0.000 0.000
Ta 0.500 0.500 0.266
Ta 0.500 0.500 0.734
Rh 0.000 0.000 0.500

Calculated volume ... 80.5 Å³ per cell
Symmetry ... Pmmm


two:
Density functional theory data (GGA-PBE) for an optimized crystal structure of SrTa2Rh.

Lattice parameters (Å, degrees): 4.833 4.833 4.833 60.00 60.00 60.00
Sites, in units of the cell vectors:
Sr 0.000 0.000 0.000
Ta 0.500 0.500 0.500
Ta 0.750 0.750 0.750
Rh 0.250 0.250 0.250

Calculated volume ... 79.8 Å³ per cell
Symmetry ... F-43m


Verdict on stability: two comes out on top.